## LaTaSe (GGA-PBEsol)

Data for an optimized crystal structure of LaTaSe.

Structure (POSCAR):
```
LaTaSe
1.0
3.354 0.000 0.000
0.000 3.354 0.000
-1.677 -1.677 5.828
La Ta Se
1 1 1
direct
0.001 0.001 0.003 La
0.300 0.300 0.601 Ta
0.698 0.698 0.396 Se
```

Excess energy over the best structure of this formula in the dataset (eV/f.u.): 0.00
Space-group type: I4mm, No. 107
Formation energy (no corrections) (meV/atom): -466
Calculated density (g/cm3): 10.10
Density of states at the Fermi level (states/eV/atom): 0.3880